Record 1
! PBE Li2MgTc, optimized geometry; values from VASP
! ΔE_f: 0.274 eV/atom
! Uncorrected energy: -14.69 eV for the cell shown
! Space group: Pmm2 (25)
&SYSTEM
  ibrav = 0, nat = 4, ntyp = 3
/
ATOMIC_SPECIES
Li 6.94 Li.upf
Mg 24.30 Mg.upf
Tc 98.00 Tc.upf
CELL_PARAMETERS angstrom
2.602 0.000 0.000
0.000 4.405 0.000
0.000 0.000 5.674
ATOMIC_POSITIONS crystal
Li 0.000 0.000 0.987
Li 0.500 0.500 0.241
Mg 0.000 0.000 0.527
Tc 0.500 0.500 0.745



Record 2
! PBE SmSc2Tl, optimized geometry; values from VASP
! ΔE_f: -0.019 eV/atom
! Uncorrected energy: -19.82 eV for the cell shown
! Polymorph energy (0 for the lowest one): 0.165 eV/atom
! Space group: Fm-3m (225)
&SYSTEM
  ibrav = 0, nat = 4, ntyp = 3
/
ATOMIC_SPECIES
Sc 44.96 Sc.upf
Tl 204.38 Tl.upf
Sm 150.36 Sm.upf
CELL_PARAMETERS angstrom
5.230 0.000 0.000
2.615 4.529 0.000
2.615 1.510 4.270
ATOMIC_POSITIONS crystal
Sc 0.250 0.250 0.250
Sc 0.750 0.750 0.750
Tl 0.500 0.500 0.500
Sm 0.000 0.000 0.000



Record 3
! PBE Sc2MnPb, optimized geometry; values from VASP
! ΔE_f: -0.092 eV/atom
! Uncorrected energy: -25.91 eV for the cell shown
! Space group: C2/m (12)
&SYSTEM
  ibrav = 0, nat = 4, ntyp = 3
/
ATOMIC_SPECIES
Mn 54.94 Mn.upf
Pb 207.20 Pb.upf
Sc 44.96 Sc.upf
CELL_PARAMETERS angstrom
5.416 -0.308 0.263
4.075 3.581 0.263
1.633 0.563 4.093
ATOMIC_POSITIONS crystal
Mn 0.750 0.750 0.750
Pb 0.250 0.250 0.250
Sc 0.005 0.005 0.994
Sc 0.495 0.495 0.506



Record 4
! PBE PuMgAgPb, optimized geometry; values from VASP
! ΔE_f: -0.081 eV/atom
! Uncorrected energy: -22.81 eV for the cell shown
! Space group: F-43m (216)
&SYSTEM
  ibrav = 0, nat = 4, ntyp = 4
/
ATOMIC_SPECIES
Pb 207.20 Pb.upf
Mg 24.30 Mg.upf
Ag 107.87 Ag.upf
Pu 244.00 Pu.upf
CELL_PARAMETERS angstrom
5.175 0.000 0.000
2.588 4.482 0.000
2.588 1.494 4.225
ATOMIC_POSITIONS crystal
Pb 0.500 0.500 0.500
Mg 0.250 0.250 0.250
Ag 0.000 0.000 0.000
Pu 0.750 0.750 0.750



Record 5
! PBE BaCdH6Rh, optimized geometry; values from VASP
! Uncorrected energy: -32.67 eV for the cell shown
! Space group: P312 (149)
&SYSTEM
  ibrav = 0, nat = 9, ntyp = 4
/
ATOMIC_SPECIES
Ba 137.33 Ba.upf
Cd 112.41 Cd.upf
H 1.01 H.upf
Rh 102.91 Rh.upf
CELL_PARAMETERS angstrom
5.014 0.000 0.000
2.507 4.343 0.000
0.000 0.000 4.912
ATOMIC_POSITIONS crystal
Ba 0.000 0.000 0.000
Cd 0.667 0.667 0.500
H 0.049 0.473 0.258
H 0.473 0.049 0.742
H 0.478 0.473 0.742
H 0.049 0.478 0.742
H 0.473 0.478 0.258
H 0.478 0.049 0.258
Rh 0.333 0.333 0.500



Record 6
! PBE AcIn2Rh2, optimized geometry; values from VASP
! ΔE_f: -0.551 eV/atom
! Uncorrected energy: -54.09 eV for the cell shown
! Polymorph energy (0 for the lowest one): 0.000 eV/atom
! Space group: I4/mmm (139)
&SYSTEM
  ibrav = 0, nat = 10, ntyp = 3
/
ATOMIC_SPECIES
Ac 227.00 Ac.upf
In 114.82 In.upf
Rh 102.91 Rh.upf
CELL_PARAMETERS angstrom
4.521 0.000 -0.974
-0.210 4.516 -0.974
0.091 0.095 11.403
ATOMIC_POSITIONS crystal
Ac 0.636 0.636 0.271
Ac 0.364 0.364 0.729
In 0.000 0.500 0.000
In 0.189 0.189 0.377
In 0.500 0.000 0.000
In 0.811 0.811 0.623
Rh 0.750 0.250 0.500
Rh 0.933 0.933 0.867
Rh 0.067 0.067 0.133
Rh 0.250 0.750 0.500